Entry 1:
Density functional theory data (GGA+U) for a geometry-optimized MgNpMoO6 structure.

a = 5.283 Å, b = 5.283 Å, c = 9.141 Å
α = 90.00°, β = 90.00°, γ = 120.00°
Atoms (fractional coordinates):
1 O 0.672 0.996 0.871
2 O 0.996 0.672 0.371
3 O 0.328 0.004 0.129
4 O 0.324 0.328 0.871
5 O 0.672 0.676 0.629
6 O 0.004 0.328 0.629
7 O 0.996 0.324 0.129
8 O 0.328 0.324 0.371
9 O 0.004 0.676 0.871
10 O 0.324 0.996 0.629
11 O 0.676 0.672 0.129
12 O 0.676 0.004 0.371
13 Np 0.667 0.333 0.250
14 Np 0.333 0.667 0.750
15 Mo 0.000 0.000 0.000
16 Mo 0.000 0.000 0.500
17 Mg 0.333 0.667 0.250
18 Mg 0.667 0.333 0.750

Calculated values
Total DFT energy (no corrections) = -144.886 eV/cell
Magnetization = 0.33 μB/atom


Entry 2:
Density functional theory data (GGA+U) for a geometry-optimized Mg2NpMoO8 structure.

a = 4.494 Å, b = 4.494 Å, c = 9.410 Å
α = 90.00°, β = 90.00°, γ = 120.00°
Atoms (fractional coordinates):
1 O 0.697 0.659 0.637
2 O 0.962 0.303 0.637
3 O 0.333 0.667 0.953
4 O 0.667 0.333 0.047
5 O 0.303 0.341 0.363
6 O 0.038 0.697 0.363
7 O 0.659 0.962 0.363
8 O 0.341 0.038 0.637
9 Mg 0.333 0.667 0.747
10 Mg 0.667 0.333 0.253
11 Np 0.000 0.000 0.500
12 Mo 0.000 0.000 0.000

Calculated values
Total DFT energy (no corrections) = -79.672 eV/cell
Magnetization = 0.25 μB/atom


Entry 3:
Density functional theory data (GGA+U) for a geometry-optimized MgMo4O9 structure.

a = 7.904 Å, b = 7.904 Å, c = 5.077 Å
α = 90.00°, β = 90.00°, γ = 90.00°
Atoms (fractional coordinates):
1 O 0.500 0.500 0.500
2 O 0.587 0.767 0.009
3 O 0.913 0.733 0.991
4 O 0.804 0.399 0.495
5 O 0.733 0.087 0.009
6 O 0.399 0.196 0.505
7 O 0.267 0.913 0.009
8 O 0.233 0.587 0.991
9 O 0.304 0.899 0.505
10 O 0.000 0.000 0.500
11 O 0.196 0.601 0.495
12 O 0.899 0.696 0.495
13 O 0.601 0.804 0.505
14 O 0.767 0.413 0.991
15 O 0.696 0.101 0.505
16 O 0.413 0.233 0.009
17 O 0.087 0.267 0.991
18 O 0.101 0.304 0.495
19 Mo 0.712 0.611 0.733
20 Mo 0.389 0.712 0.267
21 Mo 0.611 0.288 0.267
22 Mo 0.111 0.788 0.733
23 Mo 0.788 0.889 0.267
24 Mo 0.288 0.389 0.733
25 Mo 0.212 0.111 0.267
26 Mo 0.889 0.212 0.733
27 Mg 0.000 0.500 0.241
28 Mg 0.500 0.000 0.759

Calculated values
Total DFT energy (no corrections) = -198.873 eV/cell
Magnetization = 0.57 μB/atom


> The lowest magnetization belongs to which entry?

Mg2NpMoO8


> Among the records above, which one has the lowest magnetization?

Mg2NpMoO8


> Look up the total DFT energy (no corrections) of the first one.

-144.886 eV/cell


> Which of these has the lowest total DFT energy (no corrections)?

MgMo4O9